(1)
The following is a PBE calculation of a relaxed structure of Ag10Te4Br3, from Alexandria.

Cell: 11.139 11.139 13.949 Å, 90.00 90.00 90.85°
Positions (direct):
Ag: 0.098 0.185 0.000
Ag: 0.098 0.185 0.209
Ag: 0.129 0.871 0.604
Ag: 0.133 0.651 0.723
Ag: 0.134 0.651 0.486
Ag: 0.134 0.673 0.254
Ag: 0.134 0.673 0.954
Ag: 0.185 0.098 0.500
Ag: 0.185 0.098 0.709
Ag: 0.323 0.480 0.781
Ag: 0.324 0.480 0.428
Ag: 0.327 0.866 0.254
Ag: 0.327 0.866 0.954
Ag: 0.349 0.866 0.486
Ag: 0.349 0.867 0.723
Ag: 0.360 0.640 0.605
Ag: 0.377 0.439 0.105
Ag: 0.439 0.377 0.605
Ag: 0.480 0.323 0.281
Ag: 0.480 0.324 0.928
Ag: 0.520 0.676 0.428
Ag: 0.520 0.677 0.781
Ag: 0.561 0.623 0.105
Ag: 0.623 0.561 0.605
Ag: 0.640 0.360 0.105
Ag: 0.651 0.133 0.223
Ag: 0.651 0.134 0.986
Ag: 0.673 0.134 0.454
Ag: 0.673 0.134 0.754
Ag: 0.676 0.520 0.928
Ag: 0.677 0.520 0.281
Ag: 0.815 0.902 0.000
Ag: 0.815 0.902 0.209
Ag: 0.866 0.327 0.454
Ag: 0.866 0.327 0.754
Ag: 0.866 0.349 0.986
Ag: 0.867 0.349 0.223
Ag: 0.871 0.129 0.104
Ag: 0.902 0.815 0.500
Ag: 0.902 0.815 0.709
Te: 0.020 0.796 0.104
Te: 0.118 0.882 0.403
Te: 0.118 0.882 0.805
Te: 0.191 0.452 0.604
Te: 0.204 0.980 0.104
Te: 0.384 0.616 0.265
Te: 0.384 0.616 0.944
Te: 0.452 0.191 0.104
Te: 0.548 0.809 0.604
Te: 0.616 0.384 0.444
Te: 0.616 0.384 0.765
Te: 0.796 0.020 0.604
Te: 0.809 0.548 0.104
Te: 0.882 0.118 0.305
Te: 0.882 0.118 0.903
Te: 0.980 0.204 0.604
Br: 0.000 0.500 0.354
Br: 0.000 0.500 0.854
Br: 0.135 0.399 0.104
Br: 0.250 0.250 0.354
Br: 0.250 0.250 0.854
Br: 0.399 0.135 0.604
Br: 0.500 0.000 0.354
Br: 0.500 0.000 0.854
Br: 0.601 0.865 0.104
Br: 0.750 0.750 0.354
Br: 0.750 0.750 0.854
Br: 0.865 0.601 0.604

Calculated values
Formation energy without anion corrections = -0.162 eV per atom
Electronic total energy = -195.38 eV/cell
Space group = No. 36
ρ = 7.019 g/cm3


(2)
The following is a PBE calculation of a relaxed structure of TbPr3Rh2, from Alexandria.

Cell: 8.045 8.045 4.853 Å, 106.39 106.39 33.27°
Positions (direct):
Tb: 0.000 0.000 0.000
Pr: 0.190 0.190 0.694
Pr: 0.500 0.500 0.500
Pr: 0.810 0.810 0.306
Rh: 0.375 0.375 0.891
Rh: 0.625 0.625 0.109

Calculated values
Electronic total energy = -36.23 eV/cell
Space group = No. 12
E_form = -0.4262 eV/atom
ρ = 7.941 g/cm3


(3)
The following is a PBE calculation of a relaxed structure of TmCuSn2Se5, from Alexandria.

Cell: 9.938 9.938 13.429 Å, 90.00 90.00 156.99°
Positions (direct):
Tm: 0.188 0.812 0.500
Tm: 0.812 0.188 0.000
Cu: 0.425 0.575 0.911
Cu: 0.575 0.425 0.411
Sn: 0.063 0.937 0.698
Sn: 0.172 0.828 0.162
Sn: 0.828 0.172 0.662
Sn: 0.937 0.063 0.198
Se: 0.038 0.962 0.500
Se: 0.306 0.694 0.853
Se: 0.316 0.684 0.157
Se: 0.332 0.668 0.520
Se: 0.473 0.527 0.746
Se: 0.527 0.473 0.246
Se: 0.668 0.332 0.020
Se: 0.684 0.316 0.657
Se: 0.694 0.306 0.353
Se: 0.962 0.038 0.000

Calculated values
Formation energy without anion corrections = -0.678 eV per atom
Electronic total energy = -80.19 eV/cell
Space group = No. 36
ρ = 5.538 g/cm3